[1]
Below is a geometry-optimized Ce4Ir structure, with properties calculated at the PBE level.

The structure in extended XYZ format:
```
5
Lattice="5.5081 0.0000 0.0000 0.0000 5.5081 0.0000 0.0000 0.0000 5.5081" Properties=species:S:1:pos:R:3 pbc="T T T"
Ce 0.0000 0.0000 0.0000
Ce 0.0000 2.7540 2.7540
Ce 2.7540 0.0000 2.7540
Ce 2.7540 2.7540 0.0000
Ir 2.7540 2.7540 2.7540
```

For the relative energy among the computed polymorphs, the calculation gives 0.209 eV per atom. As for the symmetry: Pm-3m, No. 221.

***

[2]
Below is a geometry-optimized CeIr structure, with properties calculated at the PBE level.

The structure in extended XYZ format:
```
8
Lattice="12.1474 0.0000 0.0000 0.0000 3.7641 0.0000 -1.3111 0.0000 3.7814" Properties=species:S:1:pos:R:3 pbc="T T T"
Ce 0.8865 0.0000 1.3675
Ce 3.8761 1.8821 2.4139
Ce 6.9602 1.8821 1.3675
Ce 9.9498 0.0000 2.4139
Ir 0.6882 1.8821 3.4161
Ir 4.0744 0.0000 0.3653
Ir 6.7619 0.0000 3.4161
Ir 10.1481 1.8821 0.3653
```

For the total energy, the calculation gives -8.02 eV per atom. As for the symmetry: C2/m, No. 12.

***

[3]
Below is a geometry-optimized Ce5Ir4 structure, with properties calculated at the PBE level.

The structure in extended XYZ format:
```
9
Lattice="-5.3159 5.3159 1.8204 5.3159 -5.3159 1.8204 5.3159 5.3159 -1.8204" Properties=species:S:1:pos:R:3 pbc="T T T"
Ce 0.0000 0.0000 0.0000
Ce 2.9641 0.0000 0.0000
Ce 7.6678 0.0000 0.0000
Ce 0.0000 2.9641 0.0000
Ce 0.0000 7.6678 0.0000
Ir 3.4028 3.4028 0.0000
Ir 1.9131 -1.9131 1.8204
Ir -1.9131 1.9131 1.8204
Ir 1.9131 1.9131 1.8204
```

For the relative energy among the computed polymorphs, the calculation gives 0.235 eV per atom. As for the symmetry: I4/mmm, No. 139.

***

Which formula does entry 3 have?
Ce5Ir4